{"formula": "TlHg2Sb", "functional": "GGA-PBEsol", "state": "relaxed", "lattice_angstrom": [[-2.455, -3.216, 3.116], [5.279, -0.390, -0.428], [2.902, 1.564, 3.900]], "species": ["Sb", "Tl", "Hg", "Hg"], "frac_coords": [[0.500, 0.000, 0.500], [0.000, 0.000, 0.000], [0.750, 0.500, 0.750], [0.250, 0.500, 0.250]], "dos_at_fermi_per_ev_fu": 1.324, "dft_energy_ev_per_atom": -2.05, "spacegroup": "I4/mmm (139)", "raw_formation_energy_mev_per_atom": 32}